Record 1
Density functional theory data (PBE) for a relaxed Gd3Sb3Mo2N12 crystal.

## Properties
VASP energy in eV per atom: -7.64
Magnetization in μB/cell: 0.00
SG: Ia-3d, No. 230

Cell: 11.160 11.160 11.160 Å, 109.47 109.47 109.47°
Positions (direct):
Gd: 0.375 0.750 0.125
Gd: 0.250 0.375 0.125
Gd: 0.375 0.125 0.250
Gd: 0.875 0.625 0.250
Gd: 0.750 0.125 0.375
Gd: 0.125 0.250 0.375
Gd: 0.875 0.750 0.625
Gd: 0.250 0.875 0.625
Gd: 0.125 0.375 0.750
Gd: 0.625 0.875 0.750
Gd: 0.625 0.250 0.875
Gd: 0.750 0.625 0.875
Mo: 0.000 0.000 0.000
Mo: 0.500 0.000 0.000
Mo: 0.000 0.500 0.000
Mo: 0.500 0.500 0.000
Mo: 0.000 0.000 0.500
Mo: 0.500 0.000 0.500
Mo: 0.000 0.500 0.500
Mo: 0.500 0.500 0.500
N: 0.202 0.116 0.029
N: 0.327 0.913 0.029
N: 0.884 0.413 0.086
N: 0.702 0.673 0.086
N: 0.971 0.673 0.087
N: 0.616 0.414 0.087
N: 0.029 0.202 0.116
N: 0.587 0.914 0.116
N: 0.202 0.586 0.173
N: 0.471 0.587 0.173
N: 0.586 0.173 0.202
N: 0.116 0.029 0.202
N: 0.327 0.914 0.298
N: 0.471 0.384 0.298
N: 0.913 0.029 0.327
N: 0.914 0.298 0.327
N: 0.298 0.471 0.384
N: 0.586 0.913 0.384
N: 0.827 0.529 0.413
N: 0.086 0.884 0.413
N: 0.087 0.616 0.414
N: 0.827 0.798 0.414
N: 0.587 0.173 0.471
N: 0.384 0.298 0.471
N: 0.616 0.702 0.529
N: 0.413 0.827 0.529
N: 0.173 0.202 0.586
N: 0.913 0.384 0.586
N: 0.914 0.116 0.587
N: 0.173 0.471 0.587
N: 0.414 0.087 0.616
N: 0.702 0.529 0.616
N: 0.086 0.702 0.673
N: 0.087 0.971 0.673
N: 0.673 0.086 0.702
N: 0.529 0.616 0.702
N: 0.884 0.971 0.798
N: 0.414 0.827 0.798
N: 0.529 0.413 0.827
N: 0.798 0.414 0.827
N: 0.413 0.086 0.884
N: 0.971 0.798 0.884
N: 0.029 0.327 0.913
N: 0.384 0.586 0.913
N: 0.298 0.327 0.914
N: 0.116 0.587 0.914
N: 0.673 0.087 0.971
N: 0.798 0.884 0.971
Sb: 0.875 0.250 0.125
Sb: 0.750 0.875 0.125
Sb: 0.625 0.375 0.250
Sb: 0.125 0.875 0.250
Sb: 0.250 0.625 0.375
Sb: 0.625 0.750 0.375
Sb: 0.375 0.250 0.625
Sb: 0.750 0.375 0.625
Sb: 0.875 0.125 0.750
Sb: 0.375 0.625 0.750
Sb: 0.250 0.125 0.875
Sb: 0.125 0.750 0.875

---

Record 2
Density functional theory data (PBE) for a relaxed Ni2AgPt3 crystal.

## Properties
VASP energy in eV per atom: -5.39
Magnetization in μB/cell: 2.12
SG: P-3m1, No. 164
Energy relative to the elements in eV per formula unit: -0.24

Cell: 2.758 2.758 13.234 Å, 90.00 90.00 120.00°
Positions (direct):
Ag: 0.000 0.000 0.500
Ni: 0.333 0.667 0.159
Ni: 0.667 0.333 0.841
Pt: 0.000 0.000 0.000
Pt: 0.667 0.333 0.316
Pt: 0.333 0.667 0.684

---

Record 3
Density functional theory data (PBE) for a relaxed LiCdPO4 crystal.

## Properties
VASP energy in eV per atom: -5.99
SG: Cmcm, No. 63
Energy above the lowest structure with this stoichiometry in eV per atom: 0.057

Cell: 5.073 5.073 6.542 Å, 90.00 90.00 114.25°
Positions (direct):
Cd: 0.312 0.688 0.250
Cd: 0.688 0.312 0.750
Li: 0.000 0.000 0.000
Li: 0.000 0.000 0.500
O: 0.768 0.232 0.064
O: 0.319 0.223 0.250
O: 0.777 0.681 0.250
O: 0.768 0.232 0.436
O: 0.232 0.768 0.564
O: 0.223 0.319 0.750
O: 0.681 0.777 0.750
O: 0.232 0.768 0.936
P: 0.656 0.344 0.250
P: 0.344 0.656 0.750

---

Record 4
Density functional theory data (PBE) for a relaxed YEr2Tm4Te2Pd2 crystal.

## Properties
VASP energy in eV per atom: -5.42
Magnetization in μB/cell: 0.02
SG: Imm2, No. 44

Cell: 9.341 9.341 9.341 Å, 155.81 66.92 118.67°
Positions (direct):
Er: 0.097 0.741 0.355
Er: 0.386 0.741 0.645
Pd: 0.645 0.407 0.238
Pd: 0.169 0.407 0.762
Te: 0.139 0.139 0.000
Te: 0.743 0.243 0.500
Tm: 0.023 0.893 0.129
Tm: 0.419 0.102 0.317
Tm: 0.785 0.102 0.683
Tm: 0.764 0.893 0.871
Y: 0.478 0.478 0.000

---

Record 5
Density functional theory data (PBE) for a relaxed IrS2 crystal.

## Properties
VASP energy in eV per atom: -5.65
Magnetization in μB/cell: 0.00
SG: Fm-3m, No. 225

Cell: 4.121 4.121 4.121 Å, 60.00 60.00 60.00°
Positions (direct):
Ir: 0.000 0.000 0.000
S: 0.250 0.250 0.250
S: 0.750 0.750 0.750

---

Record 6
Density functional theory data (PBE) for a relaxed LaGa2CuPt2 crystal.

## Properties
VASP energy in eV per atom: -5.21
Magnetization in μB/cell: 0.00
SG: Cmmm, No. 65

Cell: 5.575 5.575 4.006 Å, 90.00 90.00 119.55°
Positions (direct):
Cu: 0.000 0.000 0.500
Ga: 0.835 0.165 0.000
Ga: 0.165 0.835 0.000
La: 0.500 0.500 0.000
Pt: 0.500 0.000 0.500
Pt: 0.000 0.500 0.500

---

Record 7
Density functional theory data (PBE) for a relaxed AcCuSn crystal.

## Properties
VASP energy in eV per atom: -4.43
Magnetization in μB/cell: 0.00
SG: F-43m, No. 216
Energy above the lowest structure with this stoichiometry in eV per atom: 0.000

Cell: 4.926 4.926 4.926 Å, 60.00 60.00 60.00°
Positions (direct):
Ac: 0.250 0.250 0.250
Cu: 0.000 0.000 0.000
Sn: 0.750 0.750 0.750

---

Record 8
Density functional theory data (PBE) for a relaxed Tb2DySi4Ag4 crystal.

## Properties
VASP energy in eV per atom: -4.72
Magnetization in μB/cell: 0.00
SG: Immm, No. 71

Cell: 13.158 13.158 13.158 Å, 162.33 161.52 25.68°
Positions (direct):
Ag: 0.252 0.252 0.000
Ag: 0.748 0.748 0.000
Ag: 0.907 0.407 0.500
Ag: 0.093 0.593 0.500
Dy: 0.000 0.000 0.000
Si: 0.455 0.455 0.000
Si: 0.545 0.545 0.000
Si: 0.812 0.312 0.500
Si: 0.188 0.688 0.500
Tb: 0.648 0.148 0.500
Tb: 0.352 0.852 0.500

---

Record 9
Density functional theory data (PBE) for a relaxed Tm2ReC2 crystal.

## Properties
VASP energy in eV per atom: -8.42
Magnetization in μB/cell: 0.01
SG: Pnma, No. 62

Cell: 6.507 5.020 9.728 Å, 90.00 90.00 90.00°
Positions (direct):
C: 0.827 0.750 0.054
C: 0.549 0.250 0.241
C: 0.049 0.250 0.259
C: 0.327 0.750 0.446
C: 0.673 0.250 0.554
C: 0.951 0.750 0.741
C: 0.451 0.750 0.759
C: 0.173 0.250 0.946
Re: 0.282 0.250 0.131
Re: 0.782 0.250 0.369
Re: 0.218 0.750 0.631
Re: 0.718 0.750 0.869
Tm: 0.822 0.250 0.057
Tm: 0.534 0.750 0.217
Tm: 0.034 0.750 0.283
Tm: 0.322 0.250 0.443
Tm: 0.678 0.750 0.557
Tm: 0.966 0.250 0.717
Tm: 0.466 0.250 0.783
Tm: 0.178 0.750 0.943

---

Record 10
Density functional theory data (PBE) for a relaxed TmTaAs crystal.

## Properties
VASP energy in eV per atom: -7.10
Magnetization in μB/cell: 0.17
SG: F-43m, No. 216

Cell: 4.510 4.510 4.510 Å, 60.00 60.00 60.00°
Positions (direct):
As: 0.000 0.000 0.000
Ta: 0.250 0.250 0.250
Tm: 0.750 0.750 0.750

---

Record 11
Density functional theory data (PBE) for a relaxed AcErHf crystal.

## Properties
VASP energy in eV per atom: -5.03
Magnetization in μB/cell: 0.01
SG: F-43m, No. 216
Energy above the lowest structure with this stoichiometry in eV per atom: 0.339
Energy relative to the elements in eV per formula unit: 3.54

Cell: 5.386 5.386 5.386 Å, 60.00 60.00 60.00°
Positions (direct):
Ac: 0.000 0.000 0.000
Er: 0.250 0.250 0.250
Hf: 0.750 0.750 0.750

---

Record 12
Density functional theory data (PBE) for a relaxed AlCuBiIr crystal.

## Properties
VASP energy in eV per atom: -4.94
Magnetization in μB/cell: 0.00
SG: F-43m, No. 216
Energy above the lowest structure with this stoichiometry in eV per atom: 0.000

Cell: 4.610 4.610 4.610 Å, 60.00 60.00 60.00°
Positions (direct):
Al: 0.000 0.000 0.000
Bi: 0.500 0.500 0.500
Cu: 0.750 0.750 0.750
Ir: 0.250 0.250 0.250

---

- What is the VASP energy in the second record?
  -5.39 eV per atom

---

- Which formula does entry 6 have?
  LaGa2CuPt2

---

- Among the records above, which one has the lowest VASP energy?
  Tm2ReC2

---

Copy entry 8 word for word.
Density functional theory data (PBE) for a relaxed Tb2DySi4Ag4 crystal.

## Properties
VASP energy in eV per atom: -4.72
Magnetization in μB/cell: 0.00
SG: Immm, No. 71

Cell: 13.158 13.158 13.158 Å, 162.33 161.52 25.68°
Positions (direct):
Ag: 0.252 0.252 0.000
Ag: 0.748 0.748 0.000
Ag: 0.907 0.407 0.500
Ag: 0.093 0.593 0.500
Dy: 0.000 0.000 0.000
Si: 0.455 0.455 0.000
Si: 0.545 0.545 0.000
Si: 0.812 0.312 0.500
Si: 0.188 0.688 0.500
Tb: 0.648 0.148 0.500
Tb: 0.352 0.852 0.500